1.
GGA-PBE PuU3Ge, optimized geometry; symmetry = No. 64; density = 16.8 g cm⁻³; total moment = 0.0 μB/cell; ΔE_f = -0.8 eV/f.u.
1.0
4.510 -5.509 0.000
4.510 5.509 0.000
0.000 0.000 8.219
U Ge Pu
12 4 4
Cartesian
2.869 1.328 4.371
6.151 -1.328 3.849
2.869 -1.328 3.849
4.510 4.661 5.505
4.510 -4.661 2.714
4.510 -0.848 6.824
1.641 1.328 7.959
6.151 1.328 4.371
4.510 0.848 1.396
7.378 1.328 7.959
1.641 -1.328 0.261
7.378 -1.328 0.261
4.510 -2.048 1.374
4.510 2.048 6.846
4.510 3.461 2.736
4.510 -3.461 5.484
2.255 -1.709 6.165
6.765 -1.709 6.165
6.765 1.709 2.055
2.255 1.709 2.055

=====

2.
GGA-PBE ReTe2Se, optimized geometry; symmetry = No. 160; density = 8.8 g cm⁻³; total moment = 0.0 μB/cell; uncorrected formation energy = 0.1686 eV/atom
1.0
10.736 0.022 0.013
10.228 3.264 0.013
10.228 1.603 2.843
Re Se Te
1 1 2
Cartesian
15.404 2.414 1.417
24.181 3.790 2.224
0.181 0.028 0.017
7.023 1.101 0.646

=====

3.
GGA-PBE SmDyPu2, optimized geometry; symmetry = No. 123; density = 11.2 g cm⁻³; total moment = 12.6 μB/cell; ΔE_f = 0.8 eV/f.u.
1.0
-0.498 3.391 -3.709
2.578 -2.852 -2.954
-4.078 -2.185 -1.449
Dy Pu Sm
1 2 1
Cartesian
-0.249 1.695 -1.855
-2.039 -1.092 -0.725
1.289 -1.426 -1.477
-0.999 -0.823 -4.056

=====

4.
GGA-PBE CaZn2BW, optimized geometry; symmetry = No. 123; density = 7.4 g cm⁻³; total moment = 0.0 μB/cell; ΔE_f = 2.2 eV/f.u.
1.0
-1.730 3.595 1.665
-4.008 -1.627 -0.650
0.085 -1.782 3.938
Zn B W Ca
2 1 1 1
Cartesian
0.043 -0.891 1.969
-0.865 1.798 0.832
0.000 0.000 0.000
-2.004 -0.814 -0.325
-2.826 0.093 2.476

=====

5.
GGA-PBE La4Nd2HoEr, optimized geometry; symmetry = No. 10; density = 7.0 g cm⁻³; total moment = 0.0 μB/cell; ΔE_f = 0.1 eV/f.u.
1.0
-2.480 -2.158 4.096
1.151 -4.754 -1.808
9.860 -4.678 3.505
La Nd Er Ho
4 2 1 1
Cartesian
2.082 -5.813 1.565
8.258 -7.077 1.271
6.448 -5.777 4.228
0.272 -4.513 4.522
3.690 -3.418 3.800
9.860 -4.678 3.505
-0.665 -3.456 1.144
5.505 -4.716 0.848

=====

6.
GGA-PBE Fe2AgMo, optimized geometry; symmetry = No. 122; density = 8.7 g cm⁻³; total moment = 3.1 μB/cell; ΔE_f = 3.5 eV/f.u.
1.0
-2.318 -6.255 -0.478
3.640 -1.756 5.329
-1.402 -3.365 4.046
Fe Ag Mo
4 2 2
Cartesian
-1.270 -4.769 1.394
1.560 -2.922 4.267
-0.012 -9.477 7.107
-0.439 -5.585 5.025
0.000 0.000 0.000
-1.530 -6.813 2.996
0.661 -4.006 2.425
1.449 -4.563 5.900

=====

7.
GGA-PBE Na3Pm3ReO8, optimized geometry; symmetry = No. 166; density = 5.9 g cm⁻³; total moment = 3.0 μB/cell; uncorrected formation energy = -2.3523 eV/atom
1.0
6.920 0.000 0.000
-3.460 5.993 -0.021
0.000 -3.976 5.595
Na O Pm Re
3 8 3 1
Cartesian
-1.730 2.996 -0.010
0.000 0.000 0.000
1.730 2.996 -0.010
1.543 -1.101 1.675
-1.917 3.118 3.899
1.917 3.118 3.899
3.460 2.219 1.663
0.000 2.003 1.576
3.460 0.014 3.998
0.000 -0.203 3.911
5.377 -1.101 1.674
-1.730 1.008 2.787
1.730 1.008 2.787
3.460 -1.988 2.797
0.000 -1.988 2.797

=====

8.
GGA-PBE Te2Pd5S, optimized geometry; symmetry = No. 63; density = 7.7 g cm⁻³; total moment = 0.0 μB/cell; uncorrected formation energy = -0.1766 eV/atom
1.0
-1.337 -3.606 -0.045
6.372 -0.357 3.757
-6.346 2.215 10.974
Te S Pd
4 2 10
Cartesian
-2.335 0.772 7.490
-4.288 1.454 10.867
2.977 -3.202 3.819
1.024 -2.520 7.196
-0.139 0.005 3.692
-1.172 -1.754 10.994
-1.610 0.468 10.293
0.299 -2.217 4.393
-3.621 -0.857 11.903
0.672 -2.422 9.800
2.310 -0.891 2.783
-1.514 -1.593 8.259
0.033 -0.030 1.401
0.203 -0.155 6.427
-1.343 -1.719 13.285
-1.983 0.674 4.886

=====

9.
GGA-PBE Rb3Pm3CrS8, optimized geometry; symmetry = No. 166; density = 3.8 g cm⁻³; total moment = 2.0 μB/cell; uncorrected formation energy = -1.4843 eV/atom
1.0
8.036 0.000 0.000
-4.018 6.961 -0.031
0.000 -4.608 7.884
Rb S Pm Cr
3 8 3 1
Cartesian
-2.009 3.480 -0.015
2.009 3.480 -0.015
0.000 0.000 0.000
4.018 0.023 5.497
4.018 2.601 2.522
2.243 3.638 5.314
-2.244 3.638 5.314
0.000 -0.248 5.331
0.000 2.330 2.357
6.261 -1.285 2.540
1.774 -1.285 2.540
2.009 1.177 3.927
-2.009 1.177 3.927
4.018 -2.304 3.942
0.000 -2.304 3.942

=====

10.
GGA-PBE PmNdAu5, optimized geometry; symmetry = No. 15; density = 13.4 g cm⁻³; total moment = 0.0 μB/cell; ΔE_f = -4.5 eV/f.u.
1.0
-1.802 3.987 3.110
-4.423 -1.375 -2.713
0.529 -8.734 7.805
Au Pm Nd
10 2 2
Cartesian
-2.452 -1.823 -0.178
-3.878 -7.622 3.471
-4.808 -2.592 1.590
-1.818 1.499 4.731
-4.188 0.495 -0.271
-3.177 -2.345 5.290
-3.244 -4.300 8.381
-2.519 -3.778 2.913
-1.509 -6.618 8.473
-0.888 -3.531 6.612
0.264 -4.367 3.903
0.000 0.000 0.000
-2.911 -5.643 5.620
-2.786 -0.480 2.582

=====

11.
GGA-PBE Cr2Pt, optimized geometry; symmetry = No. 164; density = 12.5 g cm⁻³; total moment = 0.0 μB/cell; ΔE_f = 0.5 eV/f.u.
1.0
-0.917 -2.457 0.347
1.706 1.033 1.739
-5.011 2.365 3.511
Pt Cr
1 2
Cartesian
-1.713 -0.506 1.981
-4.981 2.351 3.490
-2.539 1.460 3.636

=====

12.
GGA-PBE BaTlSi, optimized geometry; symmetry = No. 156; density = 6.4 g cm⁻³; total moment = 0.0 μB/cell; uncorrected formation energy = -0.2278 eV/atom
1.0
-2.085 -3.657 1.943
4.407 -0.319 -1.403
1.596 1.564 4.656
Si Ba Tl
1 1 1
Cartesian
0.761 -1.876 2.816
0.020 0.019 0.058
3.138 -0.555 2.322

=====

13.
GGA-PBE Na8Bi6Au, optimized geometry; symmetry = No. 148; density = 5.5 g cm⁻³; total moment = 0.0 μB/cell; ΔE_f = -2.9 eV/f.u.
1.0
-2.270 4.528 8.076
-8.907 3.103 1.383
-5.214 -2.902 5.788
Na Bi Au
8 6 1
Cartesian
-7.720 4.104 6.782
-6.502 0.155 5.311
-4.592 2.122 7.858
-6.679 2.892 10.867
-11.799 2.608 7.389
-9.889 4.575 9.936
-8.671 0.626 8.465
-9.712 1.838 4.379
-2.925 0.671 0.992
-13.466 4.059 14.255
-14.396 2.101 9.682
-6.639 2.936 3.578
-9.753 1.793 11.669
-1.995 2.629 5.564
0.000 0.000 0.000

=====

14.
GGA-PBE LiSnB, optimized geometry; symmetry = No. 47; density = 4.4 g cm⁻³; total moment = 0.0 μB/cell; ΔE_f = 1.7 eV/f.u.
1.0
6.507 0.000 0.000
0.000 4.319 0.000
0.000 0.000 3.640
Sn B Li
2 2 2
Cartesian
1.627 2.160 0.001
4.880 2.160 3.639
0.000 2.160 1.820
3.253 2.160 1.820
4.880 0.000 1.819
1.627 0.000 1.822

=====

15.
GGA-PBE LaNdSi2, optimized geometry; symmetry = No. 26; density = 5.7 g cm⁻³; total moment = 0.0 μB/cell; uncorrected formation energy = -0.7474 eV/atom
1.0
3.982 0.000 0.000
0.000 5.988 0.000
0.000 0.000 8.348
Si Nd La
4 2 2
Cartesian
1.991 5.171 3.894
1.991 0.817 8.068
0.000 2.234 0.288
0.000 3.754 4.462
1.991 3.808 6.841
1.991 2.180 2.667
0.000 5.179 1.500
0.000 0.809 5.674

=====

16.
GGA-PBE MnFe2Pb, optimized geometry; symmetry = No. 8; density = 10.3 g cm⁻³; total moment = 7.9 μB/cell; ΔE_f = 1.6 eV/f.u.
1.0
-3.182 1.265 3.574
-4.881 0.005 0.824
-1.484 -3.195 2.381
Pb Fe Mn
1 2 1
Cartesian
-2.433 -0.450 1.709
-1.610 -3.113 2.421
-7.065 -1.509 5.055
-4.698 -1.010 3.364

=====

17.
GGA-PBE YFe2Se, optimized geometry; symmetry = No. 166; density = 6.4 g cm⁻³; total moment = 3.0 μB/cell; uncorrected formation energy = -0.1101 eV/atom
1.0
-0.690 4.646 2.807
-3.141 4.454 -0.491
-4.054 2.281 2.881
Se Fe Y
1 2 1
Cartesian
-1.971 2.845 1.299
-4.419 6.377 2.912
-7.410 10.694 4.883
-5.914 8.536 3.898